(1)
Material: CuAgGeN2
Method: DFT, PBE
State: optimized geometry

Cell lengths 3.769, 3.769, 4.928 Å; angles 90.00, 90.00, 90.00 degrees
Element x y z (fractional)
Cu: 0.000 0.000 0.000
Ag: 0.500 0.500 0.000
Ge: 0.000 0.000 0.500
N: 0.000 0.500 0.500
N: 0.500 0.000 0.500

N(E_F): 0.56 states/eV per atom
Total energy: -4.315 eV/atom
Formation energy (no corrections): 6.6 eV/f.u.
Magnetization: 0.0 μB per formula unit

(2)
Material: Cu2AgGeN
Method: DFT, PBE
State: optimized geometry

Cell lengths 4.662, 4.662, 3.725 Å; angles 90.00, 90.00, 90.00 degrees
Element x y z (fractional)
Cu: 0.000 0.500 0.000
Cu: 0.500 0.000 0.000
Ag: 0.000 0.000 0.500
Ge: 0.500 0.500 0.000
N: 0.500 0.500 0.500

N(E_F): 0.22 states/eV per atom
Total energy: -3.841 eV/atom
Formation energy (no corrections): 4.8 eV/f.u.
Magnetization: 0.0 μB per formula unit

(3)
Material: NdCuAgGe
Method: DFT, PBE
State: optimized geometry

Cell lengths 4.832, 4.832, 4.832 Å; angles 60.00, 60.00, 60.00 degrees
Element x y z (fractional)
Nd: 0.000 0.000 0.000
Cu: 0.750 0.750 0.750
Ag: 0.500 0.500 0.500
Ge: 0.250 0.250 0.250

N(E_F): 0.54 states/eV per atom
Total energy: -4.337 eV/atom
Energy of formation: -0.254 eV/atom
Magnetization: 0.0 μB per formula unit

(4)
Material: Nd2Cu3AgGe4
Method: DFT, PBE
State: optimized geometry

Cell lengths 4.273, 4.273, 10.217 Å; angles 90.00, 90.00, 90.00 degrees
Element x y z (fractional)
Nd: 0.000 0.500 0.243
Nd: 0.500 0.000 0.757
Cu: 0.000 0.500 0.875
Cu: 0.500 0.000 0.125
Cu: 0.500 0.500 0.500
Ag: 0.000 0.000 0.500
Ge: 0.000 0.000 0.000
Ge: 0.000 0.500 0.641
Ge: 0.500 0.000 0.359
Ge: 0.500 0.500 0.000

N(E_F): 0.28 states/eV per atom
Total energy: -4.785 eV/atom
Energy of formation: -0.471 eV/atom
Magnetization: 0.0 μB per formula unit

(5)
Material: NdCuAgGe2
Method: DFT, PBE
State: optimized geometry

Cell lengths 6.133, 6.133, 6.133 Å; angles 139.39, 139.39, 58.78 degrees
Element x y z (fractional)
Nd: 0.000 0.000 0.000
Cu: 0.250 0.750 0.500
Ag: 0.750 0.250 0.500
Ge: 0.384 0.384 0.000
Ge: 0.616 0.616 0.000

N(E_F): 0.24 states/eV per atom
Total energy: -4.634 eV/atom
Energy of formation: -0.444 eV/atom
Magnetization: 0.0 μB per formula unit

(6)
Material: CuAg2GeO4
Method: DFT, PBE
State: optimized geometry

Cell lengths 5.051, 5.070, 5.693 Å; angles 116.34, 116.31, 90.06 degrees
Element x y z (fractional)
Cu: 0.000 0.000 0.000
Ag: 0.499 0.498 0.998
Ag: 0.749 0.249 0.500
Ge: 0.249 0.749 0.500
O: 0.131 0.695 0.732
O: 0.304 0.399 0.268
O: 0.600 0.036 0.732
O: 0.962 0.867 0.267

N(E_F): 0.78 states/eV per atom
Total energy: -4.982 eV/atom
Formation energy (no corrections): -5.6 eV/f.u.
Magnetization: 1.1 μB per formula unit

(7)
Material: Cu2AgGeO4
Method: DFT, PBE
State: optimized geometry

Cell lengths 5.107, 5.107, 5.107 Å; angles 116.84, 116.84, 95.57 degrees
Element x y z (fractional)
Cu: 0.250 0.750 0.500
Cu: 0.750 0.250 0.500
Ag: 0.000 0.000 0.000
Ge: 0.500 0.500 0.000
O: 0.154 0.154 0.619
O: 0.465 0.846 0.000
O: 0.535 0.535 0.381
O: 0.846 0.465 0.000

N(E_F): 0.37 states/eV per atom
Total energy: -5.213 eV/atom
Formation energy (no corrections): -6.2 eV/f.u.
Magnetization: 1.0 μB per formula unit

(8)
Material: PaCuAgGe
Method: DFT, PBE
State: optimized geometry

Cell lengths 4.762, 4.762, 4.762 Å; angles 60.00, 60.00, 60.00 degrees
Element x y z (fractional)
Pa: 0.000 0.000 0.000
Cu: 0.750 0.750 0.750
Ag: 0.500 0.500 0.500
Ge: 0.250 0.250 0.250

N(E_F): 1.15 states/eV per atom
Total energy: -5.295 eV/atom
Energy of formation: -0.030 eV/atom
Magnetization: 0.0 μB per formula unit

(9)
Material: CuAgGePd2
Method: DFT, PBE
State: optimized geometry

Cell lengths 4.639, 4.639, 4.683 Å; angles 90.00, 90.00, 90.00 degrees
Element x y z (fractional)
Cu: 0.000 0.000 0.000
Ag: 0.000 0.000 0.500
Ge: 0.500 0.500 0.500
Pd: 0.000 0.500 0.000
Pd: 0.500 0.000 0.000

N(E_F): 0.84 states/eV per atom
Total energy: -3.726 eV/atom
Energy of formation: 0.664 eV/atom
Magnetization: 0.0 μB per formula unit

(10)
Material: CuAgGePd
Method: DFT, PBE
State: optimized geometry

Cell lengths 4.435, 4.435, 4.435 Å; angles 60.00, 60.00, 60.00 degrees
Element x y z (fractional)
Cu: 0.000 0.000 0.000
Ag: 0.750 0.750 0.750
Ge: 0.500 0.500 0.500
Pd: 0.250 0.250 0.250

N(E_F): 0.58 states/eV per atom
Total energy: -4.243 eV/atom
Energy of formation: -0.053 eV/atom
Magnetization: 0.0 μB per formula unit

(11)
Material: PmCuAgGe2
Method: DFT, PBE
State: optimized geometry

Cell lengths 6.128, 6.128, 6.128 Å; angles 139.57, 139.57, 58.50 degrees
Element x y z (fractional)
Pm: 0.000 0.000 0.000
Cu: 0.250 0.750 0.500
Ag: 0.750 0.250 0.500
Ge: 0.384 0.384 0.000
Ge: 0.616 0.616 0.000

N(E_F): 0.25 states/eV per atom
Total energy: -4.624 eV/atom
Energy of formation: -0.438 eV/atom
Magnetization: 0.0 μB per formula unit

(12)
Material: PrCuAgGe2
Method: DFT, PBE
State: optimized geometry

Cell lengths 6.138, 6.138, 6.138 Å; angles 139.20, 139.20, 59.07 degrees
Element x y z (fractional)
Pr: 0.000 0.000 0.000
Cu: 0.750 0.250 0.500
Ag: 0.250 0.750 0.500
Ge: 0.383 0.383 0.000
Ge: 0.617 0.617 0.000

N(E_F): 0.24 states/eV per atom
Total energy: -4.641 eV/atom
Energy of formation: -0.449 eV/atom
Magnetization: 0.0 μB per formula unit

- What is the N(E_F) in the fifth record?
  0.24 states/eV per atom